Record 1
DFT (PBE) results for LaOsC2 after structural relaxation.

Structure (POSCAR):
```
LaOsC2
1.0
0.000 2.974 2.974
2.974 0.000 2.974
2.974 2.974 0.000
La C Os
1 2 1
direct
0.000 0.000 0.000
0.750 0.750 0.750
0.250 0.250 0.250
0.500 0.500 0.500
```

Summary:
energy: -7.519 eV per atom
formation enthalpy at 0 K: 4.5 eV/f.u.
crystal system: cubic


Record 2
DFT (PBE) results for LaOsC after structural relaxation.

Structure (POSCAR):
```
LaOsC
1.0
-3.215 -1.143 -3.630
-0.582 -3.098 1.491
-1.960 2.749 0.870
C La Os
1 1 1
direct
0.167 0.667 0.333
0.667 0.333 0.667
0.167 0.000 0.000
```

Summary:
energy: -8.399 eV per atom
formation enthalpy at 0 K: 0.2 eV/f.u.
crystal system: hexagonal


Record 3
DFT (PBE) results for La20Os12C13 after structural relaxation.

Structure (POSCAR):
```
La20Os12C13
1.0
15.874 0.000 0.000
0.000 6.844 -0.002
0.000 0.009 9.166
Os La C
12 20 13
direct
0.500 0.250 0.403
0.000 0.750 0.094
0.500 0.750 0.597
0.000 0.250 0.906
0.299 0.250 0.799
0.797 0.750 0.703
0.299 0.750 0.201
0.701 0.250 0.799
0.203 0.750 0.703
0.797 0.250 0.297
0.701 0.750 0.201
0.203 0.250 0.297
0.000 0.770 0.737
0.626 0.749 0.875
0.374 0.251 0.125
0.334 0.000 0.500
0.167 0.000 0.000
0.500 0.251 0.748
0.626 0.251 0.125
0.374 0.749 0.875
0.118 0.770 0.381
0.668 0.500 0.500
0.118 0.230 0.619
0.833 0.000 0.000
0.165 0.500 0.000
0.882 0.230 0.619
0.882 0.770 0.381
0.500 0.749 0.252
0.666 0.000 0.500
0.835 0.500 0.000
0.000 0.230 0.263
0.332 0.500 0.500
0.750 0.998 0.250
0.250 0.998 0.250
0.500 0.000 0.500
0.750 0.501 0.249
0.500 0.500 0.500
0.000 0.500 0.000
0.750 0.002 0.750
0.000 0.000 0.500
0.250 0.499 0.751
0.000 0.000 0.000
0.750 0.499 0.751
0.250 0.002 0.750
0.250 0.501 0.249
```

Summary:
energy: -8.079 eV per atom
formation enthalpy at 0 K: -10.3 eV/f.u.
crystal system: monoclinic